First-principles (GGA+U) data for crystalline DyNi2PbO6 at its relaxed geometry, as listed in Alexandria via LeMat-Bulk.

Calculated values
The calculation puts the magnetic moment at 3.00 Bohr magnetons per cell. The total DFT energy (no corrections) comes out at -5.843 eV/atom.

Cell and atoms, written as extended XYZ:
```
10
Lattice="-5.1904 1.4146 -0.6664 -3.8452 -2.2755 3.0694 -2.4941 3.1031 3.9632" Properties=species:S:1:pos:R:3 pbc="T T T"
Dy -8.6265 1.8182 4.9021
Ni -5.7902 0.9551 3.0283
Ni -2.5194 2.9371 3.8084
Pb -2.8489 0.7806 1.7968
O -4.9314 0.7734 1.1442
O -5.3593 -1.0715 3.1923
O -7.5175 0.2989 2.0764
O -6.6541 0.7883 4.8319
O -6.4239 2.8149 2.6213
O -3.9578 1.4541 3.6764
```